IrAuCl4 | SCAN | single point on PBEsol structure

Computed properties:
Calculated volume = 112.4 Å³/f.u.
Uncorrected energy = -1.99478 Ry/atom
Energy relative to the elements, uncorrected = 1.55 eV/atom

Cell and atoms, written as extended XYZ:
```
6
Lattice="0.000 3.830 3.830 3.830 0.000 3.830 3.830 3.830 0.000" Properties=species:S:1:pos:R:3 pbc="T T T"
Ir 0.000 0.000 0.000
Au 5.745 5.745 5.745
Cl 2.869 2.869 2.869
Cl 4.791 4.791 2.869
Cl 4.791 2.869 4.791
Cl 2.869 4.791 4.791
```